Entry 1:
A crystal of AlTcW relaxed with PBEsol, computed with meta-GGA SCAN.

The energy above the most stable polymorph in this dataset comes out at 0 meV per atom. The formation enthalpy at 0 K is -331 meV/atom. As for the total magnetization: 0.00 μB/cell.

The structure in CIF format:
```
data_AlTcW
_chemical_formula_sum 'Al2 Tc2 W2'
_space_group_name_H-M_alt 'I 4 m m'
_space_group_IT_number 107
_space_group_name_Hall 'I 4 -2'
_cell_length_a 3.082
_cell_length_b 3.082
_cell_length_c 9.179
_cell_angle_alpha 90.00
_cell_angle_beta 90.00
_cell_angle_gamma 90.00
loop_
_atom_site_label
_atom_site_fract_x
_atom_site_fract_y
_atom_site_fract_z
_atom_site_occupancy
Al1 0.000 0.000 0.000 1
Tc1 0.000 0.000 0.668 1
W1 0.000 0.000 0.321 1
```

=====

Entry 2:
A crystal of Cd2InCI relaxed with PBEsol, computed with meta-GGA SCAN.

As for the total magnetization: 2.87 μB/cell. The uncorrected formation energy comes out at 1.862 eV/atom.

The structure in CIF format:
```
data_Cd2InCI
_chemical_formula_sum 'Cd2 In1 C1 I1'
_space_group_name_H-M_alt 'P 4/m m m'
_space_group_IT_number 123
_space_group_name_Hall '-P 4 2'
_cell_length_a 5.950
_cell_length_b 5.950
_cell_length_c 6.504
_cell_angle_alpha 90.00
_cell_angle_beta 90.00
_cell_angle_gamma 90.00
loop_
_atom_site_label
_atom_site_fract_x
_atom_site_fract_y
_atom_site_fract_z
_atom_site_occupancy
Cd1 0.000 0.500 0.000 1
In1 0.000 0.000 0.500 1
C1 0.500 0.500 0.500 1
I1 0.000 0.000 0.000 1
```

=====

Entry 3:
A crystal of CaHg4Pt relaxed with PBEsol, computed with meta-GGA SCAN.

The formation enthalpy at 0 K is -73 meV/atom. As for the total magnetization: 0.00 μB/cell.

The structure in CIF format:
```
data_CaHg4Pt
_chemical_formula_sum 'Ca4 Hg16 Pt4'
_space_group_name_H-M_alt 'F -4 3 m'
_space_group_IT_number 216
_space_group_name_Hall 'F -4 2 3'
_cell_length_a 7.990
_cell_length_b 7.990
_cell_length_c 7.990
_cell_angle_alpha 90.00
_cell_angle_beta 90.00
_cell_angle_gamma 90.00
loop_
_atom_site_label
_atom_site_fract_x
_atom_site_fract_y
_atom_site_fract_z
_atom_site_occupancy
Ca1 0.000 0.000 0.000 1
Hg1 0.124 0.124 0.376 1
Pt1 0.250 0.250 0.750 1
```